12
Lattice="4.873 0.000 0.000 2.436 4.220 0.000 2.436 1.407 6.512" Properties=species:S:1:pos:R:3 comment="KMgH8Pt2 | Alexandria via LeMat-Bulk | PBE | relaxed" crystal_system=trigonal total_magnetization_mub_per_atom=0.000 final_energy_ev_per_fu=-42.3 sg="R-3 (148)" pbc="T T T"
K 4.873 2.813 3.256
Mg 0.000 0.000 0.000
H 2.436 1.407 2.444
H 4.096 1.559 1.074
H 7.309 4.220 4.067
H 6.347 2.767 1.074
H 3.398 2.859 5.438
H 4.175 4.113 1.074
H 5.570 1.513 5.438
H 5.650 4.067 5.438
Pt 2.436 1.407 0.855
Pt 7.309 4.220 5.657